The following is a DFT calculation (GGA-PBE) of IrPd3Ru after structural relaxation.

Raw total energy = -4.969 eV per atom

Cell: 4.6727 4.6727 4.6727 Å, 90.00 90.00 90.00°
Atoms (fractional coordinates):
Ir: 0.0000 0.0000 0.0000
Pd: 0.0000 0.5000 0.5000
Pd: 0.5000 0.0000 0.5000
Pd: 0.5000 0.5000 0.0000
Ru: 0.5000 0.5000 0.5000